Below is an optimized crystal structure of CsV3O, with properties calculated at the PBE with a Hubbard U level.

Lattice parameters (Å, degrees): 4.773 4.773 4.773 90.00 90.00 90.00
Each line ends with the local moment (μB).
Fractional coordinates of all 5 atoms:
Cs 0.500 0.500 0.500  0.21
O 0.000 0.000 0.000  0.06
V 0.000 0.500 0.000  3.02
V 0.000 0.000 0.500  3.02
V 0.500 0.000 0.000  3.02

- SG: No. 221
- Energy: -23.25 eV per cell